# Li2ZrMnO4 (PBE+U, optimized geometry)
data_Li2ZrMnO4
_chemical_formula_sum 'Li2 Zr1 Mn1 O4'
_cell_length_a 4.271
_cell_length_b 4.311
_cell_length_c 5.630
_cell_angle_alpha 112.51
_cell_angle_beta 112.29
_cell_angle_gamma 90.00
_symmetry_space_group_name_H-M 'P 1'
_symmetry_Int_Tables_number 1
_symmetry_space_group_name_Hall 'P 1'
loop_
_atom_site_label
_atom_site_type_symbol
_atom_site_fract_x
_atom_site_fract_y
_atom_site_fract_z
O1 O 0.286 0.286 0.573
O2 O 0.000 0.500 0.000
O3 O 0.507 0.007 0.014
O4 O 0.732 0.732 0.463
Li1 Li 0.252 0.752 0.504
Li2 Li 0.969 0.969 0.937
Zr1 Zr 0.505 0.505 0.010
Mn1 Mn 0.749 0.249 0.499
# E_tot = -0.5413 Ry per atom
# crystal system = orthorhombic
# ρ = 4.26 g cm⁻³